Below is crystalline LaSi2Ir at its relaxed geometry, with properties calculated at the PBE-GGA level.

Computed properties:
Space group: C2/m (12)
Electronic total energy (eV per atom): -7.08

```
LaSi2Ir
1.0
-4.0115 -0.9853 -0.0027
-1.7336 -1.5617 -3.4087
-0.7362 -5.7057 0.4731
Si Ir La
2 1 1
Direct
0.4578 0.4578 0.6261 Si
0.0422 0.0422 0.8739 Si
0.7500 0.7500 0.7500 Ir
0.2500 0.2500 0.2500 La
```

Below is crystalline LaSi2Ir at its relaxed geometry, with properties calculated at the PBE-GGA level.

Computed properties:
Space group: I4_1/amd (141)
Electronic total energy (eV per atom): -6.76

```
LaSi2Ir
1.0
4.7790 0.0000 0.0000
0.0000 4.7790 0.0000
2.3895 2.3895 8.0072
Ir La Si
2 2 4
Direct
0.7500 0.2500 0.5000 Ir
0.0000 0.0000 0.0000 Ir
0.5000 0.5000 0.0000 La
0.2500 0.7500 0.5000 La
0.8750 0.1244 0.7500 Si
0.3750 0.1256 0.7500 Si
0.8744 0.1250 0.2500 Si
0.8756 0.6250 0.2500 Si
```

Below is crystalline LaSi2Ir at its relaxed geometry, with properties calculated at the PBE-GGA level.

Computed properties:
Space group: Immm (71)
Electronic total energy (eV per atom): -7.03

```
LaSi2Ir
1.0
4.3709 0.0000 0.0000
0.0000 8.8300 0.0000
-2.1854 -4.4150 8.0332
Ir Si La
4 8 4
Direct
0.8535 0.6081 0.7071 Ir
0.1465 0.9010 0.2929 Ir
0.1465 0.3919 0.2929 Ir
0.8535 0.0990 0.7071 Ir
0.0753 0.5753 0.1506 Si
0.9221 0.9221 0.8442 Si
0.6987 0.3517 0.3975 Si
0.3013 0.6483 0.6025 Si
0.3013 0.9542 0.6025 Si
0.6987 0.0458 0.3975 Si
0.9247 0.4247 0.8494 Si
0.0779 0.0779 0.1558 Si
0.2931 0.2931 0.5862 La
0.5000 0.7453 0.0000 La
0.7069 0.7069 0.4138 La
0.5000 0.2547 0.0000 La
```

Number 1: ΔE_f (raw) -0.9234 eV/atom, calculated volume 19.42 Å³ per atom. Number 2: ΔE_f (raw) -0.5998 eV/atom, calculated volume 22.86 Å³ per atom. Number 3: ΔE_f (raw) -0.8744 eV/atom, calculated volume 19.38 Å³ per atom.